No. 1
# TbY2Nb2

A relaxed TbY2Nb2 crystal (PBE, OQMD via LeMat-Bulk).

Energy above the lowest structure with this stoichiometry ... 85 meV per atom

Cell: 4.223 4.223 14.141 Å, 90.00 90.00 90.00°
Space group I4/mmm (No. 139)
Inequivalent atoms, fractional coordinates:
Tb (0.000, 0.000, 0.000) [2 per cell]
Y (0.000, 0.000, 0.398) [4 per cell]
Nb (0.000, 0.500, 0.250) [4 per cell]

---

No. 2
# TbNbZn

A relaxed TbNbZn crystal (PBE, OQMD via LeMat-Bulk).

Energy above the lowest structure with this stoichiometry ... 0 meV per atom

Cell: 6.512 6.512 6.512 Å, 90.00 90.00 90.00°
Space group F-43m (No. 216)
Inequivalent atoms, fractional coordinates:
Tb (0.000, 0.000, 0.000) [4 per cell]
Nb (0.000, 0.000, 0.500) [4 per cell]
Zn (0.250, 0.250, 0.750) [4 per cell]

---

No. 3
# NbTcTe2

A relaxed NbTcTe2 crystal (PBE, OQMD via LeMat-Bulk).

Uncorrected energy ... -5.9794 eV per atom

Cell: 6.892 6.892 6.892 Å, 90.00 90.00 90.00°
Space group F-43m (No. 216)
Inequivalent atoms, fractional coordinates:
Nb (0.000, 0.000, 0.000) [4 per cell]
Tc (0.250, 0.250, 0.750) [4 per cell]
Te (0.000, 0.000, 0.500) [4 per cell]
Te (0.250, 0.250, 0.250) [4 per cell]

---

No. 4
# Nb2TcTe

A relaxed Nb2TcTe crystal (PBE, OQMD via LeMat-Bulk).

Uncorrected energy ... -8.2479 eV per atom

Cell: 6.565 6.565 6.565 Å, 90.00 90.00 90.00°
Space group F-43m (No. 216)
Inequivalent atoms, fractional coordinates:
Nb (0.000, 0.000, 0.000) [4 per cell]
Nb (0.250, 0.250, 0.250) [4 per cell]
Tc (0.000, 0.000, 0.500) [4 per cell]
Te (0.250, 0.250, 0.750) [4 per cell]